Record 1
Tl3FeIr: relaxed, PBE.

Structure (CIF):
```
data_Tl3FeIr
_chemical_formula_sum 'Tl3 Fe1 Ir1'
_space_group_name_H-M_alt 'P 1'
_space_group_IT_number 1
_cell_length_a 5.293
_cell_length_b 5.293
_cell_length_c 5.293
_cell_angle_alpha 90.00
_cell_angle_beta 90.00
_cell_angle_gamma 90.00
loop_
_space_group_symop_operation_xyz
'x,y,z'
loop_
_atom_site_label
_atom_site_type_symbol
_atom_site_fract_x
_atom_site_fract_y
_atom_site_fract_z
Tl1 Tl 0.000 0.000 0.500
Tl2 Tl 0.000 0.500 0.000
Tl3 Tl 0.500 0.000 0.000
Fe1 Fe 0.500 0.500 0.500
Ir1 Ir 0.000 0.000 0.000
```

Output
* crystal system: cubic
* space group: Pm-3m (221)
* ΔE_f: 0.789 eV per atom

---

Record 2
InHgTe: relaxed, PBE.

Structure (CIF):
```
data_InHgTe
_chemical_formula_sum 'In1 Hg1 Te1'
_space_group_name_H-M_alt 'P 1'
_space_group_IT_number 1
_cell_length_a 7.006
_cell_length_b 7.006
_cell_length_c 7.006
_cell_angle_alpha 152.43
_cell_angle_beta 145.56
_cell_angle_gamma 44.67
loop_
_space_group_symop_operation_xyz
'x,y,z'
loop_
_atom_site_label
_atom_site_type_symbol
_atom_site_fract_x
_atom_site_fract_y
_atom_site_fract_z
In1 In 0.000 0.000 0.000
Hg1 Hg 0.667 0.667 0.000
Te1 Te 0.352 0.352 0.000
```

Output
* formation energy without anion corrections: -28 meV per atom
* crystal system: orthorhombic
* space group: Imm2 (44)

---

Record 3
Pm2Y5Er2: relaxed, PBE.

Structure (CIF):
```
data_Pm2Y5Er2
_chemical_formula_sum 'Pm4 Y10 Er4'
_space_group_name_H-M_alt 'P 1'
_space_group_IT_number 1
_cell_length_a 10.101
_cell_length_b 10.101
_cell_length_c 10.101
_cell_angle_alpha 84.33
_cell_angle_beta 109.09
_cell_angle_gamma 140.51
loop_
_space_group_symop_operation_xyz
'x,y,z'
loop_
_atom_site_label
_atom_site_type_symbol
_atom_site_fract_x
_atom_site_fract_y
_atom_site_fract_z
Pm1 Pm 0.006 0.128 0.134
Pm2 Pm 0.006 0.372 0.378
Pm3 Pm 0.994 0.628 0.622
Pm4 Pm 0.994 0.872 0.866
Y1 Y 0.110 0.298 0.707
Y2 Y 0.110 0.903 0.312
Y3 Y 0.408 0.402 0.507
Y4 Y 0.436 0.030 0.119
Y5 Y 0.436 0.816 0.906
Y6 Y 0.591 0.403 0.293
Y7 Y 0.591 0.798 0.688
Y8 Y 0.895 0.902 0.493
Y9 Y 0.910 0.316 0.881
Y10 Y 0.910 0.530 0.094
Er1 Er 0.427 0.692 0.235
Er2 Er 0.456 0.192 0.765
Er3 Er 0.558 0.058 0.500
Er4 Er 0.558 0.558 0.000
```

Output
* crystal system: orthorhombic
* space group: Ima2 (46)
* ΔE_f: 0.230 eV per atom

---

Record 4
Sr3Cu2RhO6: relaxed, PBE.

Structure (CIF):
```
data_Sr3Cu2RhO6
_chemical_formula_sum 'Sr3 Cu2 Rh1 O6'
_space_group_name_H-M_alt 'P 1'
_space_group_IT_number 1
_cell_length_a 5.778
_cell_length_b 5.778
_cell_length_c 6.318
_cell_angle_alpha 90.00
_cell_angle_beta 90.00
_cell_angle_gamma 120.00
loop_
_space_group_symop_operation_xyz
'x,y,z'
loop_
_atom_site_label
_atom_site_type_symbol
_atom_site_fract_x
_atom_site_fract_y
_atom_site_fract_z
Sr1 Sr 0.000 0.000 0.000
Sr2 Sr 0.333 0.667 0.628
Sr3 Sr 0.667 0.333 0.372
Cu1 Cu 0.333 0.667 0.161
Cu2 Cu 0.667 0.333 0.839
Rh1 Rh 0.000 0.000 0.500
O1 O 0.165 0.330 0.308
O2 O 0.165 0.835 0.308
O3 O 0.330 0.165 0.692
O4 O 0.670 0.835 0.308
O5 O 0.835 0.165 0.692
O6 O 0.835 0.670 0.692
```

Output
* formation energy without anion corrections: -1476 meV per atom
* crystal system: trigonal
* space group: P-3m1 (164)

---

Calculated M_tot, 3.36; 0.00; 0.00; 1.09 μB/cell (same order as the records).
Calculated calculated total energy, -4.10; -2.09; -5.43; -5.67 eV per atom (same order as the records).